1.
Material: ZrSb2TeI
Method: DFT, PBE
State: optimized geometry

abc: 5.6204 5.6204 5.6749
angles: 90.00 90.00 90.00
Positions (direct):
I 0.0000 0.0000 0.0000
Sb 0.0000 0.5000 0.0000
Sb 0.5000 0.0000 0.0000
Te 0.0000 0.0000 0.5000
Zr 0.5000 0.5000 0.5000

Calculated values
ΔE to the lowest computed polymorph in eV per atom: 1.132
Energy in eV per atom: -3.108
Total magnetic moment in μB per formula unit: 0.00
D(E_F) in states/eV/atom: 1.198

2.
Material: ZrSbTe2I
Method: DFT, PBE
State: optimized geometry

abc: 5.5175 5.5175 5.8233
angles: 90.00 90.00 90.00
Positions (direct):
I 0.5000 0.5000 0.5000
Sb 0.0000 0.0000 0.5000
Te 0.0000 0.5000 0.0000
Te 0.5000 0.0000 0.0000
Zr 0.0000 0.0000 0.0000

Calculated values
ΔE to the lowest computed polymorph in eV per atom: 0.000
Energy in eV per atom: -4.144
Total magnetic moment in μB per formula unit: 0.00
D(E_F) in states/eV/atom: 0.911

3.
Material: ZrSbTeI2
Method: DFT, PBE
State: optimized geometry

abc: 5.8142 5.8142 5.9449
angles: 90.00 90.00 90.00
Positions (direct):
I 0.0000 0.5000 0.0000
I 0.5000 0.0000 0.0000
Sb 0.0000 0.0000 0.0000
Te 0.0000 0.0000 0.5000
Zr 0.5000 0.5000 0.5000

Calculated values
ΔE to the lowest computed polymorph in eV per atom: 0.679
Energy in eV per atom: -3.107
Total magnetic moment in μB per formula unit: 2.34
D(E_F) in states/eV/atom: 1.800